{"formula": "LaFeN2O", "functional": "GGA+U", "state": "optimized geometry", "magmom_total_mub_per_fu": 3.6, "e_tot_ev_per_cell": -36.004, "lattice": [[3.847, 0.000, 0.000], [0.000, 3.847, 0.000], [0.000, 0.000, 4.061]], "species": ["La", "Fe", "N", "N", "O"], "fractional_positions": [[0.000, 0.000, 0.000], [0.500, 0.500, 0.500], [0.000, 0.500, 0.500], [0.500, 0.000, 0.500], [0.500, 0.500, 0.000]]}